Density functional theory data (GGA-PBE) for an optimized crystal structure of Ba2CaLa.

Cell and atoms, written as POSCAR:
```
Ba2CaLa
1.0
7.595 0.001 -0.001
-3.352 6.815 -0.001
0.636 1.021 3.759
Ba La Ca
2 1 1
direct
0.500 0.500 0.000
0.000 0.000 0.000
0.000 0.500 0.500
0.500 0.000 0.500
```

Values from the calculation:
crystal system: monoclinic
volume: 48.64 Å³/atom
SG: No. 12
E above lowest polymorph: 43.4 meV/atom
total energy: -10.20 eV per cell
density of states at the Fermi level: 4.72 states/eV/cell